1.
Crystalline NaDySbSe3 at its relaxed geometry. Source: OQMD via LeMat-Bulk, functional PBE-GGA.

Results
total magnetization	0.0	μB per cell
E_tot	-4.2607	eV per atom

Unit cell a=7.6503 b=7.6503 c=10.8048 alpha=90.00 beta=90.00 gamma=148.46
Positions (direct):
Sb  0.9615  0.0385  0.2500
Se  0.6093  0.3907  0.2500
Se  0.8627  0.1373  0.4633
Dy  0.5000  0.5000  0.5000
Sb  0.0385  0.9615  0.7500
Se  0.3907  0.6093  0.7500
Na  0.7471  0.2529  0.7500
Na  0.2529  0.7471  0.2500
Dy  0.5000  0.5000  0.0000
Se  0.1373  0.8627  0.9633
Se  0.1373  0.8627  0.5367
Se  0.8627  0.1373  0.0367

2.
Crystalline NaDySnSe3 at its relaxed geometry. Source: OQMD via LeMat-Bulk, functional PBE-GGA.

Results
total magnetization	0.0	μB per cell
E_tot	-4.5080	eV per atom

Unit cell a=8.0460 b=8.0460 c=11.4907 alpha=90.00 beta=90.00 gamma=150.43
Positions (direct):
Se  0.0219  0.9781  0.7500
Se  0.6271  0.3729  0.0058
Na  0.6411  0.3589  0.2500
Se  0.3729  0.6271  0.9942
Dy  0.0000  0.0000  0.0000
Se  0.3729  0.6271  0.5058
Na  0.3589  0.6411  0.7500
Sn  0.6434  0.3566  0.7500
Se  0.6271  0.3729  0.4942
Se  0.9781  0.0219  0.2500
Dy  0.0000  0.0000  0.5000
Sn  0.3566  0.6434  0.2500

3.
Crystalline NaSrDySe3 at its relaxed geometry. Source: OQMD via LeMat-Bulk, functional PBE-GGA.

Results
total magnetization	0.0	μB per cell
E_tot	-4.7669	eV per atom

Unit cell a=9.1598 b=9.1598 c=9.0681 alpha=104.55 beta=104.55 gamma=26.25
Positions (direct):
Se  0.6688  0.6688  0.8616
Dy  0.8336  0.8336  0.9127
Se  0.6789  0.6789  0.3137
Dy  0.1664  0.1664  0.0873
Se  0.3211  0.3211  0.6863
Na  0.4960  0.4960  0.7967
Se  0.0000  0.0000  0.0000
Sr  0.1352  0.1352  0.5657
Na  0.5040  0.5040  0.2033
Sr  0.8648  0.8648  0.4343
Se  0.3312  0.3312  0.1384
Se  0.5000  0.5000  0.5000

4.
Crystalline NaSrDySe3 at its relaxed geometry. Source: OQMD via LeMat-Bulk, functional PBE-GGA.

Results
total magnetization	0.0	μB per cell
E_tot	-4.6458	eV per atom

Unit cell a=14.0908 b=4.2697 c=10.9019 alpha=90.00 beta=90.00 gamma=90.00
Positions (direct):
Dy  0.4814  0.7500  0.8357
Se  0.6168  0.7500  0.6273
Na  0.5030  0.7500  0.4105
Se  0.1168  0.7500  0.8727
Dy  0.0186  0.2500  0.3357
Sr  0.2397  0.2500  0.0213
Sr  0.7396  0.2500  0.4787
Sr  0.7603  0.7500  0.9787
Dy  0.5186  0.2500  0.1643
Se  0.8832  0.2500  0.1273
Se  0.3832  0.2500  0.3727
Se  0.1449  0.7500  0.2583
Na  0.0030  0.7500  0.0895
Se  0.6027  0.2500  0.9287
Na  0.9970  0.2500  0.9105
Se  0.1027  0.2500  0.5713
Se  0.6449  0.7500  0.2417
Na  0.4970  0.2500  0.5895
Se  0.8551  0.2500  0.7417
Se  0.3551  0.2500  0.7583
Se  0.8973  0.7500  0.4287
Dy  0.9814  0.7500  0.6643
Sr  0.2604  0.7500  0.5213
Se  0.3973  0.7500  0.0713

Q: Which formula does entry 1 have?
A: NaDySbSe3

Q: Look up the E_tot of the fourth one.
A: -4.6458 eV per atom